Computed, not measured: a PBEsol-optimized structure of Ca2SiSe4 at the meta-GGA SCAN level of DFT.

Unit cell a=14.026 b=8.511 c=6.491 alpha=90.00 beta=90.00 gamma=90.00
Positions (direct):
Ca 0.000 0.000 0.000
Ca 0.000 0.500 0.000
Ca 0.227 0.250 0.475
Ca 0.273 0.750 0.975
Ca 0.500 0.000 0.500
Ca 0.500 0.500 0.500
Ca 0.727 0.250 0.025
Ca 0.773 0.750 0.525
Si 0.094 0.750 0.400
Si 0.406 0.250 0.900
Si 0.594 0.750 0.100
Si 0.906 0.250 0.600
Se 0.058 0.250 0.730
Se 0.093 0.750 0.749
Se 0.171 0.540 0.257
Se 0.171 0.960 0.257
Se 0.329 0.040 0.757
Se 0.329 0.460 0.757
Se 0.407 0.250 0.249
Se 0.442 0.750 0.230
Se 0.558 0.250 0.770
Se 0.593 0.750 0.751
Se 0.671 0.540 0.243
Se 0.671 0.960 0.243
Se 0.829 0.040 0.743
Se 0.829 0.460 0.743
Se 0.907 0.250 0.251
Se 0.942 0.750 0.270

crystal system = orthorhombic
total energy = -17.184 eV per atom
E_form (uncorrected) = -1.519 eV per atom
DOS(E_F) = 0.000 states/eV/atom